## PmDy2NpN4 (PBE)

Data for crystalline PmDy2NpN4 at its relaxed geometry.

Properties
- size of the total moment (μB/f.u.) = 3.0
- space-group type = P2/m

Cell lengths 3.4963, 6.0510, 6.0321 Å; angles 109.02, 90.00, 90.00 degrees
Element x y z (fractional)
Pm1 0.5000 0.5000 0.0000
Dy1 0.5000 0.0000 0.5000
Dy2 0.0000 0.5000 0.5000
Np1 0.0000 0.0000 0.0000
N1 0.5000 0.2385 0.2466
N2 0.5000 0.7615 0.7534
N3 0.0000 0.2300 0.7552
N4 0.0000 0.7700 0.2448



## Pm3Dy2NpN6 (PBE)

Data for crystalline Pm3Dy2NpN6 at its relaxed geometry.

Properties
- size of the total moment (μB/f.u.) = 2.4
- space-group type = C2/m

Cell lengths 6.0850, 6.0850, 6.1225 Å; angles 99.53, 99.53, 120.01 degrees
Element x y z (fractional)
Pm1 0.1682 0.8318 0.5000
Pm2 0.8318 0.1682 0.5000
Pm3 0.5000 0.5000 0.5000
Dy1 0.3335 0.6665 0.0000
Dy2 0.6665 0.3335 0.0000
Np1 0.0000 0.0000 0.0000
N1 0.9242 0.6095 0.7728
N2 0.7615 0.7615 0.2286
N3 0.0758 0.3905 0.2272
N4 0.6095 0.9242 0.7728
N5 0.2385 0.2385 0.7714
N6 0.3905 0.0758 0.2272



## Pr3Dy2NpN6 (PBE)

Data for crystalline Pr3Dy2NpN6 at its relaxed geometry.

Properties
- size of the total moment (μB/f.u.) = 2.0
- space-group type = C2/m

Cell lengths 6.1194, 6.1194, 6.2139 Å; angles 99.46, 99.46, 119.96 degrees
Element x y z (fractional)
Pr1 0.1686 0.8314 0.5000
Pr2 0.8314 0.1686 0.5000
Pr3 0.5000 0.5000 0.5000
Dy1 0.3336 0.6664 0.0000
Dy2 0.6664 0.3336 0.0000
Np1 0.0000 0.0000 0.0000
N1 0.9274 0.6166 0.7824
N2 0.7621 0.7621 0.2213
N3 0.0726 0.3834 0.2176
N4 0.6166 0.9274 0.7824
N5 0.2379 0.2379 0.7787
N6 0.3834 0.0726 0.2176



## PrDy2NpN4 (PBE)

Data for crystalline PrDy2NpN4 at its relaxed geometry.

Properties
- size of the total moment (μB/f.u.) = 3.9
- space-group type = Cmcm

Cell lengths 3.4405, 6.7967, 10.9995 Å; angles 90.00, 90.00, 104.66 degrees
Element x y z (fractional)
Pr1 0.2311 0.4622 0.7500
Pr2 0.7689 0.5378 0.2500
Dy1 0.3725 0.7451 0.4869
Dy2 0.6275 0.2549 0.9869
Dy3 0.6275 0.2549 0.5131
Dy4 0.3725 0.7451 0.0131
Np1 0.9640 0.9279 0.7500
Np2 0.0360 0.0721 0.2500
N1 0.2010 0.4019 0.1110
N2 0.7990 0.5981 0.6110
N3 0.7990 0.5981 0.8890
N4 0.2010 0.4019 0.3890
N5 0.0000 0.0000 0.5000
N6 0.0000 0.0000 0.0000
N7 0.5746 0.1493 0.7500
N8 0.4254 0.8507 0.2500



## DyPuNp2N4 (PBE)

Data for crystalline DyPuNp2N4 at its relaxed geometry.

Properties
- size of the total moment (μB/f.u.) = 11.6
- space-group type = P2/m

Cell lengths 3.4609, 5.9947, 6.0233 Å; angles 109.34, 90.00, 90.00 degrees
Element x y z (fractional)
Dy1 0.5000 0.5000 0.0000
Pu1 0.0000 0.0000 0.0000
Np1 0.5000 0.0000 0.5000
Np2 0.0000 0.5000 0.5000
N1 0.5000 0.2534 0.2599
N2 0.5000 0.7466 0.7401
N3 0.0000 0.2467 0.7389
N4 0.0000 0.7533 0.2611



## Dy2PuNpN4 (PBE)

Data for crystalline Dy2PuNpN4 at its relaxed geometry.

Properties
- size of the total moment (μB/f.u.) = 7.9
- space-group type = P2/m

Cell lengths 3.4693, 6.0135, 5.9849 Å; angles 109.48, 90.00, 90.00 degrees
Element x y z (fractional)
Dy1 0.5000 0.0000 0.5000
Dy2 0.0000 0.5000 0.5000
Pu1 0.0000 0.0000 0.0000
Np1 0.5000 0.5000 0.0000
N1 0.5000 0.2526 0.2389
N2 0.5000 0.7474 0.7611
N3 0.0000 0.2582 0.7606
N4 0.0000 0.7418 0.2394



## DyNpS2N (PBE)

Data for crystalline DyNpS2N at its relaxed geometry.

Properties
- size of the total moment (μB/f.u.) = 2.7
- space-group type = P4/nmm

Cell lengths 3.8111, 3.8111, 13.7672 Å; angles 90.00, 90.00, 90.00 degrees
Element x y z (fractional)
Dy1 0.5000 0.0000 0.1207
Dy2 0.0000 0.5000 0.8793
Np1 0.5000 0.0000 0.5854
Np2 0.0000 0.5000 0.4146
S1 0.0000 0.5000 0.6902
S2 0.0000 0.5000 0.0921
S3 0.5000 0.0000 0.9079
S4 0.5000 0.0000 0.3098
N1 0.0000 0.0000 0.5000
N2 0.5000 0.5000 0.5000



## Dy2NpSbN5 (PBE)

Data for crystalline Dy2NpSbN5 at its relaxed geometry.

Properties
- size of the total moment (μB/f.u.) = 2.8
- space-group type = Cmc2_1

Cell lengths 3.4265, 7.1696, 11.3063 Å; angles 90.00, 90.00, 103.82 degrees
Element x y z (fractional)
Dy1 0.8664 0.7327 0.7411
Dy2 0.1312 0.2623 0.7234
Dy3 0.1336 0.2673 0.2411
Dy4 0.8688 0.7377 0.2234
Np1 0.7606 0.5212 0.4937
Np2 0.2394 0.4788 0.9937
Sb1 0.5006 0.0012 0.9756
Sb2 0.4994 0.9988 0.4756
N1 0.3838 0.7675 0.0800
N2 0.7261 0.4523 0.8570
N3 0.4807 0.9613 0.7983
N4 0.2816 0.5633 0.6263
N5 0.9294 0.8588 0.5285
N6 0.6162 0.2325 0.5800
N7 0.2739 0.5477 0.3570
N8 0.5193 0.0387 0.2983
N9 0.7184 0.4367 0.1263
N10 0.0706 0.1412 0.0285



## DyNpSe2N (PBE)

Data for crystalline DyNpSe2N at its relaxed geometry.

Properties
- size of the total moment (μB/f.u.) = 2.8
- space-group type = P4/nmm

Cell lengths 3.9194, 3.9194, 14.4763 Å; angles 90.00, 90.00, 90.00 degrees
Element x y z (fractional)
Dy1 0.5000 0.0000 0.1253
Dy2 0.0000 0.5000 0.8747
Np1 0.5000 0.0000 0.5776
Np2 0.0000 0.5000 0.4224
Se1 0.0000 0.5000 0.6871
Se2 0.0000 0.5000 0.0895
Se3 0.5000 0.0000 0.9105
Se4 0.5000 0.0000 0.3129
N1 0.0000 0.0000 0.5000
N2 0.5000 0.5000 0.5000



## DyNpSeN2 (PBE)

Data for crystalline DyNpSeN2 at its relaxed geometry.

Properties
- size of the total moment (μB/f.u.) = 2.0
- space-group type = I4mm

Cell lengths 3.8140, 3.8140, 6.6511 Å; angles 106.66, 106.66, 90.00 degrees
Element x y z (fractional)
Dy1 0.8472 0.8472 0.6945
Np1 0.1626 0.1626 0.3252
Se1 0.5025 0.5025 0.0050
N1 0.7438 0.2438 0.4877
N2 0.2438 0.7438 0.4877



## Sm2Dy3NpN6 (PBE)

Data for crystalline Sm2Dy3NpN6 at its relaxed geometry.

Properties
- size of the total moment (μB/f.u.) = 2.7
- space-group type = C2/m

Cell lengths 6.0625, 6.0625, 6.0419 Å; angles 99.61, 99.61, 120.00 degrees
Element x y z (fractional)
Sm1 0.3333 0.6667 0.0000
Sm2 0.6667 0.3333 0.0000
Dy1 0.1670 0.8330 0.5000
Dy2 0.8330 0.1670 0.5000
Dy3 0.5000 0.5000 0.5000
Np1 0.0000 0.0000 0.0000
N1 0.9173 0.6042 0.7523
N2 0.7705 0.7705 0.2442
N3 0.0827 0.3958 0.2477
N4 0.6042 0.9173 0.7523
N5 0.2295 0.2295 0.7558
N6 0.3958 0.0827 0.2477



## SmDyNpN3 (PBE)

Data for crystalline SmDyNpN3 at its relaxed geometry.

Properties
- size of the total moment (μB/f.u.) = 1.1
- space-group type = P2_1/m

Cell lengths 3.5884, 7.1479, 8.7128 Å; angles 97.43, 90.00, 90.00 degrees
Element x y z (fractional)
Sm1 0.7500 0.8376 0.8690
Sm2 0.2500 0.1624 0.1310
Dy1 0.2500 0.6272 0.1495
Dy2 0.7500 0.3728 0.8505
Np1 0.2500 0.0563 0.5946
Np2 0.7500 0.9437 0.4054
N1 0.2500 0.7778 0.4068
N2 0.7500 0.8987 0.1496
N3 0.7500 0.3923 0.1200
N4 0.7500 0.2222 0.5932
N5 0.2500 0.6077 0.8800
N6 0.2500 0.1013 0.8504



## SmDy2NpN4 (PBE)

Data for crystalline SmDy2NpN4 at its relaxed geometry.

Properties
- size of the total moment (μB/f.u.) = 3.0
- space-group type = P2/m

Cell lengths 3.4905, 6.0370, 6.0229 Å; angles 109.02, 90.00, 90.00 degrees
Element x y z (fractional)
Sm1 0.5000 0.5000 0.0000
Dy1 0.5000 0.0000 0.5000
Dy2 0.0000 0.5000 0.5000
Np1 0.0000 0.0000 0.0000
N1 0.5000 0.2392 0.2458
N2 0.5000 0.7608 0.7542
N3 0.0000 0.2319 0.7560
N4 0.0000 0.7681 0.2440



## Sm2DyNpN4 (PBE)

Data for crystalline Sm2DyNpN4 at its relaxed geometry.

Properties
- size of the total moment (μB/f.u.) = 2.9
- space-group type = P2/m

Cell lengths 3.5142, 6.0484, 6.0802 Å; angles 108.92, 90.00, 90.00 degrees
Element x y z (fractional)
Sm1 0.5000 0.0000 0.5000
Sm2 0.0000 0.5000 0.5000
Dy1 0.5000 0.5000 0.0000
Np1 0.0000 0.0000 0.0000
N1 0.5000 0.2366 0.2298
N2 0.5000 0.7634 0.7702
N3 0.0000 0.2402 0.7720
N4 0.0000 0.7598 0.2280



## Sr2DyNpN4 (PBE)

Data for crystalline Sr2DyNpN4 at its relaxed geometry.

Properties
- size of the total moment (μB/f.u.) = 2.0
- space-group type = P2/m

Cell lengths 3.5834, 6.0795, 6.3082 Å; angles 108.36, 90.00, 90.00 degrees
Element x y z (fractional)
Sr1 0.5000 0.0000 0.5000
Sr2 0.0000 0.5000 0.5000
Dy1 0.5000 0.5000 0.0000
Np1 0.0000 0.0000 0.0000
N1 0.5000 0.2247 0.2043
N2 0.5000 0.7753 0.7957
N3 0.0000 0.2371 0.8024
N4 0.0000 0.7629 0.1976



## SrDy2NpN4 (PBE)

Data for crystalline SrDy2NpN4 at its relaxed geometry.

Properties
- size of the total moment (μB/f.u.) = 3.0
- space-group type = Cmcm

Cell lengths 3.5488, 6.3918, 12.4496 Å; angles 90.00, 90.00, 106.12 degrees
Element x y z (fractional)
Sr1 0.1474 0.2948 0.7500
Sr2 0.8526 0.7052 0.2500
Dy1 0.3697 0.7394 0.5190
Dy2 0.6303 0.2606 0.0190
Dy3 0.6303 0.2606 0.4810
Dy4 0.3697 0.7394 0.9810
Np1 0.8803 0.7607 0.7500
Np2 0.1197 0.2393 0.2500
N1 0.2377 0.4754 0.1154
N2 0.7623 0.5246 0.6155
N3 0.7623 0.5246 0.8846
N4 0.2377 0.4754 0.3846
N5 0.0000 0.0000 0.5000
N6 0.0000 0.0000 0.0000
N7 0.4800 0.9600 0.7500
N8 0.5200 0.0400 0.2500



## Dy2NpTaN4 (PBE)

Data for crystalline Dy2NpTaN4 at its relaxed geometry.

Properties
- size of the total moment (μB/f.u.) = 2.7
- space-group type = P2/m

Cell lengths 3.3373, 5.7781, 5.8326 Å; angles 108.76, 90.00, 90.00 degrees
Element x y z (fractional)
Dy1 0.5000 0.0000 0.5000
Dy2 0.0000 0.5000 0.5000
Np1 0.5000 0.5000 0.0000
Ta1 0.0000 0.0000 0.0000
N1 0.5000 0.2321 0.2225
N2 0.5000 0.7679 0.7775
N3 0.0000 0.2435 0.7689
N4 0.0000 0.7565 0.2311



## Tb3Dy2NpN6 (PBE)

Data for crystalline Tb3Dy2NpN6 at its relaxed geometry.

Properties
- size of the total moment (μB/f.u.) = 2.6
- space-group type = C2/m

Cell lengths 6.0097, 6.0097, 6.0068 Å; angles 99.58, 99.58, 120.03 degrees
Element x y z (fractional)
Tb1 0.1680 0.8320 0.5000
Tb2 0.8320 0.1680 0.5000
Tb3 0.5000 0.5000 0.5000
Dy1 0.3334 0.6666 0.0000
Dy2 0.6666 0.3334 0.0000
Np1 0.0000 0.0000 0.0000
N1 0.9199 0.6012 0.7600
N2 0.7620 0.7620 0.2380
N3 0.0801 0.3988 0.2400
N4 0.6012 0.9199 0.7600
N5 0.2380 0.2380 0.7620
N6 0.3988 0.0801 0.2400



## Tb2DyNpN4 (PBE)

Data for crystalline Tb2DyNpN4 at its relaxed geometry.

Properties
- size of the total moment (μB/f.u.) = 3.0
- space-group type = P2/m

Cell lengths 3.4746, 5.9948, 5.9981 Å; angles 108.99, 90.00, 90.00 degrees
Element x y z (fractional)
Tb1 0.5000 0.0000 0.5000
Tb2 0.0000 0.5000 0.5000
Dy1 0.0000 0.0000 0.0000
Np1 0.5000 0.5000 0.0000
N1 0.5000 0.2602 0.2372
N2 0.5000 0.7398 0.7628
N3 0.0000 0.2587 0.7601
N4 0.0000 0.7413 0.2399



## TbDy2NpN4 (PBE)

Data for crystalline TbDy2NpN4 at its relaxed geometry.

Properties
- size of the total moment (μB/f.u.) = 3.0
- space-group type = P2/m

Cell lengths 3.4687, 5.9901, 5.9875 Å; angles 109.01, 90.00, 90.00 degrees
Element x y z (fractional)
Tb1 0.5000 0.5000 0.0000
Dy1 0.5000 0.0000 0.5000
Dy2 0.0000 0.5000 0.5000
Np1 0.0000 0.0000 0.0000
N1 0.5000 0.2418 0.2432
N2 0.5000 0.7582 0.7568
N3 0.0000 0.2380 0.7594
N4 0.0000 0.7620 0.2406



| no. | mass density (g cm⁻³) | formation energy (no corrections) (eV per atom) | raw total energy (eV per atom) |
| --- | --- | --- | --- |
| 1 | 10.502 | -1.479 | -9.003 |
| 2 | 9.692 | -1.497 | -8.693 |
| 3 | 9.321 | -1.425 | -8.628 |
| 4 | 10.129 | -1.186 | -8.714 |
| 5 | 13.189 | -1.287 | -11.052 |
| 6 | 12.160 | -1.438 | -10.160 |
| 7 | 7.933 | -1.660 | -8.485 |
| 8 | 9.282 | -0.796 | -8.339 |
| 9 | 8.534 | -1.523 | -8.091 |
| 10 | 9.509 | -1.409 | -8.944 |
| 11 | 10.162 | -1.539 | -8.717 |
| 12 | 8.870 | -1.069 | -8.942 |
| 13 | 10.634 | -1.494 | -9.014 |
| 14 | 10.272 | -1.461 | -8.997 |
| 15 | 8.030 | -1.159 | -7.935 |
| 16 | 8.638 | -1.080 | -8.221 |
| 17 | 12.458 | -1.396 | -9.809 |
| 18 | 10.527 | -1.599 | -8.764 |
| 19 | 10.871 | -1.539 | -9.052 |
| 20 | 10.968 | -1.545 | -9.055 |